Density functional theory data (PBE-GGA) for a geometry-optimized PdSeBr2O structure.

Calculated values
space group: P4/mmm (123)
energy above the lowest structure with this stoichiometry: 0 kJ/mol of formula units
volume: 19.9 Å³/atom
energy relative to the elements, uncorrected: 708.8 meV per atom
VASP energy: -13.44 eV for the cell shown
DOS at the Fermi energy: 6.78 states/eV/cell

Structure (extended XYZ):
```
5
Lattice="-3.757 2.338 -2.002 -0.242 -3.373 -3.486 -2.669 -2.259 2.371" Properties=species:S:1:pos:R:3 pbc="T T T"
Pd -3.334 -1.647 -1.559
Br -0.121 -1.687 -1.743
Br -1.879 1.169 -1.001
Se -1.334 -1.129 1.185
O 0.000 0.000 0.000
```

---

Density functional theory data (PBE-GGA) for a geometry-optimized TaAg3N structure.

Calculated values
space group: Pm-3m (221)
energy above the lowest structure with this stoichiometry: 0 kJ/mol of formula units
volume: 16.7 Å³/atom
energy relative to the elements, uncorrected: 1268.6 meV per atom
VASP energy: -22.39 eV for the cell shown
DOS at the Fermi energy: 4.83 states/eV/cell

Structure (extended XYZ):
```
5
Lattice="4.371 0.000 0.000 0.000 4.371 0.000 0.000 0.000 4.371" Properties=species:S:1:pos:R:3 pbc="T T T"
Ag 0.000 2.185 0.000
Ag 0.000 0.000 2.185
Ag 2.185 0.000 0.000
Ta 2.185 2.185 2.185
N 0.000 0.000 0.000
```

---

Density functional theory data (PBE-GGA) for a geometry-optimized Sr3La3NdTe8 structure.

Calculated values
space group: R-3m (166)
volume: 37.6 Å³/atom
energy relative to the elements, uncorrected: -1614.6 meV per atom
VASP energy: -73.95 eV for the cell shown
DOS at the Fermi energy: 5.86 states/eV/cell

Structure (extended XYZ):
```
15
Lattice="-0.136 -8.140 -4.288 7.498 2.633 4.635 -7.726 -2.353 4.712" Properties=species:S:1:pos:R:3 pbc="T T T"
Nd -3.863 -1.177 2.356
Sr 0.000 0.000 0.000
Sr 3.749 1.317 2.318
Sr 3.681 -2.753 0.173
Te -2.067 -6.733 -1.980
Te -2.133 -6.536 2.602
Te 1.634 -5.212 4.887
Te 1.703 -1.127 7.039
Te -1.998 -2.648 0.172
Te 1.769 -1.324 2.457
Te 1.696 -5.411 0.345
Te -2.060 -2.449 4.714
La -0.182 -3.930 2.530
La -0.114 0.140 4.674
La -3.931 -5.247 0.212
```

---

Density functional theory data (PBE-GGA) for a geometry-optimized PrY2AlO structure.

Calculated values
space group: P4/mmm (123)
volume: 22.5 Å³/atom
energy relative to the elements, uncorrected: -1333.4 meV per atom
VASP energy: -33.08 eV for the cell shown
DOS at the Fermi energy: 2.20 states/eV/cell

Structure (extended XYZ):
```
5
Lattice="4.987 0.000 0.000 0.000 4.749 0.000 0.000 0.000 4.749" Properties=species:S:1:pos:R:3 pbc="T T T"
Y 0.000 0.000 2.375
Y 0.000 2.375 0.000
O 0.000 0.000 0.000
Al 2.493 2.375 2.375
Pr 2.493 0.000 0.000
```

---

Density functional theory data (PBE-GGA) for a geometry-optimized Li2Ni15Ge2 structure.

Calculated values
space group: R-3m (166)
volume: 12.1 Å³/atom
VASP energy: -98.08 eV for the cell shown
DOS at the Fermi energy: 24.07 states/eV/cell

Structure (extended XYZ):
```
19
Lattice="-5.536 1.332 2.454 -3.583 -1.424 -4.856 -1.710 -5.713 1.697" Properties=species:S:1:pos:R:3 pbc="T T T"
Ni -6.391 -1.524 3.303
Ni -2.999 -3.341 1.952
Ni -7.877 -2.937 1.945
Ni -4.248 -1.040 2.199
Ni -4.478 -5.047 2.924
Ni -6.589 -5.309 1.690
Ni -6.362 -1.051 -1.303
Ni -5.441 -3.161 1.920
Ni -5.389 -2.644 -2.624
Ni -1.792 -0.712 -2.428
Ni -4.468 -4.753 0.599
Ni -4.481 -4.516 -1.675
Ni -6.349 -1.289 0.971
Ni -8.489 -1.536 -0.195
Ni -4.241 -0.496 -2.394
Li -1.029 -0.551 -0.067
Li -9.801 -5.253 -0.637
Ge -3.875 -2.077 -0.252
Ge -6.955 -3.728 -0.452
```

---

Density functional theory data (PBE-GGA) for a geometry-optimized LiTiAg2 structure.

Calculated values
space group: P4/mmm (123)
energy above the lowest structure with this stoichiometry: 10 kJ/mol of formula units
volume: 17.0 Å³/atom
VASP energy: -15.51 eV for the cell shown
DOS at the Fermi energy: 2.70 states/eV/cell

Structure (extended XYZ):
```
4
Lattice="-2.753 0.636 0.130 -0.676 -2.023 -4.421 -0.901 -4.334 2.121" Properties=species:S:1:pos:R:3 pbc="T T T"
Li -2.165 -2.861 -1.085
Ag -0.338 -1.011 -2.210
Ag -0.450 -2.167 1.061
Ti -1.376 0.318 0.065
```

---

> VASP energy of number 3 (Sr3La3NdTe8)?

-73.95 eV for the cell shown